Record 1
BeCu2Hg | PBE | relaxed

Summary:
E_form ... 0.22 eV/atom
Calculated total energy ... -22.7 eV/cell
E above lowest polymorph ... 117 meV per atom

Unit cell a=4.018 b=4.018 c=6.694 alpha=90.00 beta=90.00 gamma=90.00
Space group I-4m2 (No. 119)
Symmetry-distinct sites (fractional):
Be 0.000 0.000 0.000
Cu 0.000 0.000 0.500
Cu 0.000 0.500 0.750
Hg 0.000 0.500 0.250

---

Record 2
BeCuHg2 | PBE | relaxed

Summary:
E_form ... 0.35 eV/atom
Calculated total energy ... -21.0 eV/cell

Unit cell a=3.1988 b=3.1988 c=24.2804 alpha=90.00 beta=90.00 gamma=120.00
Space group R3m (No. 160, hexagonal axes)
Symmetry-distinct sites (fractional):
Be 0.0000 0.0000 0.0000
Cu 0.0000 0.0000 0.7223
Hg 0.0000 0.0000 0.2582
Hg 0.0000 0.0000 0.4782

---

Record 3
BeCuHg2 | PBE | relaxed

Summary:
E_form ... 0.39 eV/atom
Calculated total energy ... -13.8 eV/cell

Unit cell a=6.198 b=6.565 c=3.184 alpha=90.00 beta=90.00 gamma=90.00
Space group Cmmm (No. 65)
Symmetry-distinct sites (fractional):
Be 0.000 0.000 0.000
Cu 0.000 0.500 0.000
Hg 0.250 0.250 0.500

---

Record 4
BeCu2Hg | PBE | relaxed

Summary:
E_form ... 0.44 eV/atom
Calculated total energy ... -41.9 eV/cell
E above lowest polymorph ... 331 meV per atom

Unit cell a=3.616 b=3.616 c=18.066 alpha=90.00 beta=90.00 gamma=90.00
Space group I-42d (No. 122)
Symmetry-distinct sites (fractional):
Be 0.000 0.000 0.000
Cu 0.228 0.250 0.125
Hg 0.000 0.000 0.500

---

Record 5
Be3CuHg | PBE | relaxed

Summary:
E_form ... 0.62 eV/atom
Calculated total energy ... -12.5 eV/cell
E above lowest polymorph ... 0 meV per atom

Unit cell a=4.133 b=4.133 c=4.133 alpha=90.00 beta=90.00 gamma=90.00
Space group Pm-3m (No. 221)
Symmetry-distinct sites (fractional):
Be 0.000 0.000 0.500
Cu 0.000 0.000 0.000
Hg 0.500 0.500 0.500

---

Record 6
BeCuHg2 | PBE | relaxed

Summary:
E_form ... 0.28 eV/atom
Calculated total energy ... -14.6 eV/cell

Unit cell a=12.089 b=2.886 c=4.230 alpha=90.00 beta=110.33 gamma=90.00
Space group Cm (No. 8)
Symmetry-distinct sites (fractional):
Be 0.000 0.000 0.000
Cu 0.161 0.500 0.161
Hg 0.269 0.000 0.767
Hg 0.482 0.000 0.481

---

Record 7
BeCu2Hg | PBE | relaxed

Summary:
E_form ... 0.23 eV/atom
Calculated total energy ... -11.3 eV/cell
E above lowest polymorph ... 121 meV per atom

Unit cell a=2.773 b=3.978 c=5.171 alpha=90.00 beta=105.05 gamma=90.00
Space group Pm (No. 6)
Symmetry-distinct sites (fractional):
Be 0.000 0.000 0.000
Cu 0.106 0.500 0.219
Cu 0.692 0.000 0.394
Hg 0.381 0.500 0.745

---

Record 8
BeCuHg2 | PBE | relaxed

Summary:
E_form ... 0.38 eV/atom
Calculated total energy ... -6.9 eV/cell

Unit cell a=3.126 b=3.334 c=6.217 alpha=90.00 beta=91.42 gamma=90.00
Space group P2/m (No. 10)
Symmetry-distinct sites (fractional):
Be 0.000 0.000 0.000
Cu 0.000 0.000 0.500
Hg 0.485 0.500 0.239

---

- Number 3 is which compound?
  BeCuHg2